A relaxed TiCd2MoPt crystal, computed with PBE.

Geometry as CIF:
```
data_TiCd2MoPt
_chemical_formula_sum 'Ti1 Cd2 Mo1 Pt1'
_cell_length_a 5.0877
_cell_length_b 5.0877
_cell_length_c 4.3571
_cell_angle_alpha 90.00
_cell_angle_beta 90.00
_cell_angle_gamma 90.00
_space_group_name_H-M_alt 'P 1'
_space_group_IT_number 1
loop_
_space_group_symop_operation_xyz
'x,y,z'
loop_
_atom_site_label
_atom_site_type_symbol
_atom_site_fract_x
_atom_site_fract_y
_atom_site_fract_z
Ti1 Ti 0.0000 0.0000 0.0000
Cd1 Cd 0.0000 0.5000 0.0000
Cd2 Cd 0.5000 0.0000 0.0000
Mo1 Mo 0.0000 0.0000 0.5000
Pt1 Pt 0.5000 0.5000 0.5000
```

Energy relative to the elements (meV/atom): 1218

A relaxed CdMoPtW2 crystal, computed with PBE.

Geometry as CIF:
```
data_CdMoPtW2
_chemical_formula_sum 'Cd1 Mo1 Pt1 W2'
_cell_length_a 4.7290
_cell_length_b 4.7290
_cell_length_c 4.9238
_cell_angle_alpha 90.00
_cell_angle_beta 90.00
_cell_angle_gamma 90.00
_space_group_name_H-M_alt 'P 1'
_space_group_IT_number 1
loop_
_space_group_symop_operation_xyz
'x,y,z'
loop_
_atom_site_label
_atom_site_type_symbol
_atom_site_fract_x
_atom_site_fract_y
_atom_site_fract_z
Cd1 Cd 0.0000 0.0000 0.0000
Mo1 Mo 0.5000 0.5000 0.5000
Pt1 Pt 0.5000 0.5000 0.0000
W1 W 0.0000 0.5000 0.5000
W2 W 0.5000 0.0000 0.5000
```

Energy relative to the elements (meV/atom): 1733

A relaxed ZnCd2MoPt crystal, computed with PBE.

Geometry as CIF:
```
data_ZnCd2MoPt
_chemical_formula_sum 'Zn1 Cd2 Mo1 Pt1'
_cell_length_a 5.4451
_cell_length_b 5.4451
_cell_length_c 4.7710
_cell_angle_alpha 90.00
_cell_angle_beta 90.00
_cell_angle_gamma 90.00
_space_group_name_H-M_alt 'P 1'
_space_group_IT_number 1
loop_
_space_group_symop_operation_xyz
'x,y,z'
loop_
_atom_site_label
_atom_site_type_symbol
_atom_site_fract_x
_atom_site_fract_y
_atom_site_fract_z
Zn1 Zn 0.0000 0.0000 0.0000
Cd1 Cd 0.0000 0.5000 0.5000
Cd2 Cd 0.5000 0.0000 0.5000
Mo1 Mo 0.5000 0.5000 0.5000
Pt1 Pt 0.5000 0.5000 0.0000
```

Energy relative to the elements (meV/atom): 1038

A relaxed RbCdMo2 crystal, computed with PBE.

Geometry as CIF:
```
data_RbCdMo2
_chemical_formula_sum 'Rb4 Cd4 Mo8'
_cell_length_a 8.4671
_cell_length_b 8.4671
_cell_length_c 5.3641
_cell_angle_alpha 90.00
_cell_angle_beta 90.00
_cell_angle_gamma 90.00
_space_group_name_H-M_alt 'P 1'
_space_group_IT_number 1
loop_
_space_group_symop_operation_xyz
'x,y,z'
loop_
_atom_site_label
_atom_site_type_symbol
_atom_site_fract_x
_atom_site_fract_y
_atom_site_fract_z
Rb1 Rb 0.0000 0.0000 0.0000
Rb2 Rb 0.0000 0.5000 0.2500
Rb3 Rb 0.5000 0.0000 0.7500
Rb4 Rb 0.5000 0.5000 0.5000
Cd1 Cd 0.0000 0.0000 0.5000
Cd2 Cd 0.0000 0.5000 0.7500
Cd3 Cd 0.5000 0.0000 0.2500
Cd4 Cd 0.5000 0.5000 0.0000
Mo1 Mo 0.2105 0.7500 0.6250
Mo2 Mo 0.2500 0.2105 0.3750
Mo3 Mo 0.2500 0.2895 0.8750
Mo4 Mo 0.2895 0.7500 0.1250
Mo5 Mo 0.7105 0.2500 0.1250
Mo6 Mo 0.7500 0.7105 0.8750
Mo7 Mo 0.7500 0.7895 0.3750
Mo8 Mo 0.7895 0.2500 0.6250
```

Energy relative to the elements (meV/atom): 1974

A relaxed RbCd2Mo2 crystal, computed with PBE.

Geometry as CIF:
```
data_RbCd2Mo2
_chemical_formula_sum 'Rb2 Cd4 Mo4'
_cell_length_a 3.5813
_cell_length_b 3.5813
_cell_length_c 21.3975
_cell_angle_alpha 90.00
_cell_angle_beta 90.00
_cell_angle_gamma 90.00
_space_group_name_H-M_alt 'P 1'
_space_group_IT_number 1
loop_
_space_group_symop_operation_xyz
'x,y,z'
loop_
_atom_site_label
_atom_site_type_symbol
_atom_site_fract_x
_atom_site_fract_y
_atom_site_fract_z
Rb1 Rb 0.0000 0.0000 0.0000
Rb2 Rb 0.5000 0.5000 0.5000
Cd1 Cd 0.0000 0.0000 0.3648
Cd2 Cd 0.0000 0.0000 0.6352
Cd3 Cd 0.5000 0.5000 0.1352
Cd4 Cd 0.5000 0.5000 0.8648
Mo1 Mo 0.0000 0.5000 0.2500
Mo2 Mo 0.0000 0.5000 0.7500
Mo3 Mo 0.5000 0.0000 0.2500
Mo4 Mo 0.5000 0.0000 0.7500
```

Energy relative to the elements (meV/atom): 660
Energy relative to the lowest polymorph listed for this composition (eV per atom): 0.000

A relaxed RbCd2Mo2 crystal, computed with PBE.

Geometry as CIF:
```
data_RbCd2Mo2
_chemical_formula_sum 'Rb2 Cd4 Mo4'
_cell_length_a 5.4597
_cell_length_b 5.4597
_cell_length_c 9.0809
_cell_angle_alpha 90.00
_cell_angle_beta 90.00
_cell_angle_gamma 90.00
_space_group_name_H-M_alt 'P 1'
_space_group_IT_number 1
loop_
_space_group_symop_operation_xyz
'x,y,z'
loop_
_atom_site_label
_atom_site_type_symbol
_atom_site_fract_x
_atom_site_fract_y
_atom_site_fract_z
Rb1 Rb 0.0000 0.0000 0.0000
Rb2 Rb 0.5000 0.5000 0.5000
Cd1 Cd 0.0000 0.5000 0.2500
Cd2 Cd 0.0000 0.5000 0.7500
Cd3 Cd 0.5000 0.0000 0.2500
Cd4 Cd 0.5000 0.0000 0.7500
Mo1 Mo 0.0000 0.0000 0.3857
Mo2 Mo 0.0000 0.0000 0.6143
Mo3 Mo 0.5000 0.5000 0.1143
Mo4 Mo 0.5000 0.5000 0.8857
```

Energy relative to the elements (meV/atom): 920
Energy relative to the lowest polymorph listed for this composition (eV per atom): 0.260

A relaxed RbCd2Mo2 crystal, computed with PBE.

Geometry as CIF:
```
data_RbCd2Mo2
_chemical_formula_sum 'Rb2 Cd4 Mo4'
_cell_length_a 8.9242
_cell_length_b 8.9242
_cell_length_c 2.8854
_cell_angle_alpha 90.00
_cell_angle_beta 90.00
_cell_angle_gamma 90.00
_space_group_name_H-M_alt 'P 1'
_space_group_IT_number 1
loop_
_space_group_symop_operation_xyz
'x,y,z'
loop_
_atom_site_label
_atom_site_type_symbol
_atom_site_fract_x
_atom_site_fract_y
_atom_site_fract_z
Rb1 Rb 0.0000 0.0000 0.0000
Rb2 Rb 0.5000 0.5000 0.0000
Cd1 Cd 0.1912 0.3088 0.5000
Cd2 Cd 0.3088 0.8088 0.5000
Cd3 Cd 0.6912 0.1912 0.5000
Cd4 Cd 0.8088 0.6912 0.5000
Mo1 Mo 0.0937 0.5937 0.0000
Mo2 Mo 0.4063 0.0937 0.0000
Mo3 Mo 0.5937 0.9063 0.0000
Mo4 Mo 0.9063 0.4063 0.0000
```

Energy relative to the elements (meV/atom): 668
Energy relative to the lowest polymorph listed for this composition (eV per atom): 0.008

A relaxed Rb2CdMo crystal, computed with PBE.

Geometry as CIF:
```
data_Rb2CdMo
_chemical_formula_sum 'Rb8 Cd4 Mo4'
_cell_length_a 10.2347
_cell_length_b 10.2347
_cell_length_c 6.4741
_cell_angle_alpha 90.00
_cell_angle_beta 90.00
_cell_angle_gamma 90.00
_space_group_name_H-M_alt 'P 1'
_space_group_IT_number 1
loop_
_space_group_symop_operation_xyz
'x,y,z'
loop_
_atom_site_label
_atom_site_type_symbol
_atom_site_fract_x
_atom_site_fract_y
_atom_site_fract_z
Rb1 Rb 0.2238 0.7500 0.1250
Rb2 Rb 0.2500 0.2238 0.8750
Rb3 Rb 0.2500 0.2762 0.3750
Rb4 Rb 0.2762 0.7500 0.6250
Rb5 Rb 0.7238 0.2500 0.6250
Rb6 Rb 0.7500 0.7238 0.3750
Rb7 Rb 0.7500 0.7762 0.8750
Rb8 Rb 0.7762 0.2500 0.1250
Cd1 Cd 0.0000 0.0000 0.0000
Cd2 Cd 0.0000 0.5000 0.2500
Cd3 Cd 0.5000 0.0000 0.7500
Cd4 Cd 0.5000 0.5000 0.5000
Mo1 Mo 0.0000 0.0000 0.5000
Mo2 Mo 0.0000 0.5000 0.7500
Mo3 Mo 0.5000 0.0000 0.2500
Mo4 Mo 0.5000 0.5000 0.0000
```

Energy relative to the elements (meV/atom): 1227

A relaxed RbCdMoRh2 crystal, computed with PBE.

Geometry as CIF:
```
data_RbCdMoRh2
_chemical_formula_sum 'Rb1 Cd1 Mo1 Rh2'
_cell_length_a 4.7709
_cell_length_b 4.7709
_cell_length_c 5.5728
_cell_angle_alpha 90.00
_cell_angle_beta 90.00
_cell_angle_gamma 90.00
_space_group_name_H-M_alt 'P 1'
_space_group_IT_number 1
loop_
_space_group_symop_operation_xyz
'x,y,z'
loop_
_atom_site_label
_atom_site_type_symbol
_atom_site_fract_x
_atom_site_fract_y
_atom_site_fract_z
Rb1 Rb 0.0000 0.0000 0.0000
Cd1 Cd 0.5000 0.5000 0.0000
Mo1 Mo 0.5000 0.5000 0.5000
Rh1 Rh 0.0000 0.5000 0.5000
Rh2 Rh 0.5000 0.0000 0.5000
```

Energy relative to the elements (meV/atom): 775

A relaxed RbSrCdMo2 crystal, computed with PBE.

Geometry as CIF:
```
data_RbSrCdMo2
_chemical_formula_sum 'Rb1 Sr1 Cd1 Mo2'
_cell_length_a 4.8980
_cell_length_b 4.8980
_cell_length_c 5.5372
_cell_angle_alpha 90.00
_cell_angle_beta 90.00
_cell_angle_gamma 90.00
_space_group_name_H-M_alt 'P 1'
_space_group_IT_number 1
loop_
_space_group_symop_operation_xyz
'x,y,z'
loop_
_atom_site_label
_atom_site_type_symbol
_atom_site_fract_x
_atom_site_fract_y
_atom_site_fract_z
Rb1 Rb 0.0000 0.0000 0.0000
Sr1 Sr 0.0000 0.0000 0.5000
Cd1 Cd 0.5000 0.5000 0.5000
Mo1 Mo 0.0000 0.5000 0.0000
Mo2 Mo 0.5000 0.0000 0.0000
```

Energy relative to the elements (meV/atom): 2465

A relaxed RbTiCdMo2 crystal, computed with PBE.

Geometry as CIF:
```
data_RbTiCdMo2
_chemical_formula_sum 'Rb1 Ti1 Cd1 Mo2'
_cell_length_a 4.7227
_cell_length_b 4.7227
_cell_length_c 5.3044
_cell_angle_alpha 90.00
_cell_angle_beta 90.00
_cell_angle_gamma 90.00
_space_group_name_H-M_alt 'P 1'
_space_group_IT_number 1
loop_
_space_group_symop_operation_xyz
'x,y,z'
loop_
_atom_site_label
_atom_site_type_symbol
_atom_site_fract_x
_atom_site_fract_y
_atom_site_fract_z
Rb1 Rb 0.0000 0.0000 0.0000
Ti1 Ti 0.5000 0.5000 0.5000
Cd1 Cd 0.0000 0.0000 0.5000
Mo1 Mo 0.0000 0.5000 0.0000
Mo2 Mo 0.5000 0.0000 0.0000
```

Energy relative to the elements (meV/atom): 2883

A relaxed Rb2ZnCdMo crystal, computed with PBE.

Geometry as CIF:
```
data_Rb2ZnCdMo
_chemical_formula_sum 'Rb2 Zn1 Cd1 Mo1'
_cell_length_a 6.8505
_cell_length_b 6.8505
_cell_length_c 5.1040
_cell_angle_alpha 90.00
_cell_angle_beta 90.00
_cell_angle_gamma 90.00
_space_group_name_H-M_alt 'P 1'
_space_group_IT_number 1
loop_
_space_group_symop_operation_xyz
'x,y,z'
loop_
_atom_site_label
_atom_site_type_symbol
_atom_site_fract_x
_atom_site_fract_y
_atom_site_fract_z
Rb1 Rb 0.0000 0.5000 0.0000
Rb2 Rb 0.5000 0.0000 0.0000
Zn1 Zn 0.0000 0.0000 0.5000
Cd1 Cd 0.5000 0.5000 0.5000
Mo1 Mo 0.0000 0.0000 0.0000
```

Energy relative to the elements (meV/atom): 1017